[1]
## Nb2Ni2Ru (PBEsol)

Data for a relaxed Nb2Ni2Ru crystal.

Lattice parameters (Å, degrees): 6.6720 6.6720 3.1342 90.00 90.00 90.00
Last column: nearest neighbours and their distance in Å.
Space group P4/mbm (No. 127)
Inequivalent atoms, fractional coordinates:
Nb: 0.1795 0.3205 0.0000  6 Ni 2.43-2.58
Ni: 0.1232 0.6232 0.5000  1 Ni 2.33, 6 Nb 2.43-2.58
Ru: 0.0000 0.0000 0.5000  4 Ni 2.64, 8 Nb 2.91

Summary:
Formation energy in eV/atom: -0.176
M_tot in μB per formula unit: 0.000


[2]
## Zr2SiMo (PBEsol)

Data for a relaxed Zr2SiMo crystal.

Lattice parameters (Å, degrees): 3.3690 3.3690 6.2555 90.00 90.00 90.00
Last column: nearest neighbours and their distance in Å.
Space group P4mm (No. 99)
Inequivalent atoms, fractional coordinates:
Zr: 0.0000 0.0000 0.0000  1 Mo 2.63, 4 Si 2.84
Zr: 0.5000 0.5000 0.3022  1 Si 2.82, 4 Mo 2.95, 4 Zr 3.04
Si: 0.5000 0.5000 0.7531  4 Mo 2.62, 5 Zr 2.82-2.84
Mo: 0.0000 0.0000 0.5793  4 Si 2.62, 1 Zr 2.63

Summary:
Formation energy from raw total energies in meV per atom: -341
M_tot in μB per formula unit: 0.000


[3]
## Nb3IrO (PBEsol)

Data for a relaxed Nb3IrO crystal.

Lattice parameters (Å, degrees): 4.8069 4.8069 4.8069 90.00 90.00 90.00
Last column: nearest neighbours and their distance in Å.
Space group Pm-3m (No. 221)
Inequivalent atoms, fractional coordinates:
Nb: 0.0000 0.0000 0.5000  2 Ir 2.40
Ir: 0.0000 0.0000 0.0000  6 Nb 2.40
O: 0.5000 0.5000 0.5000  12 Nb 3.40

Summary:
Formation energy from raw total energies in meV per atom: 1520
M_tot in μB per formula unit: 0.657


[4]
## SbBrCl2 (PBEsol)

Data for a relaxed SbBrCl2 crystal.

Lattice parameters (Å, degrees): 6.9803 6.9803 6.9803 90.00 90.00 90.00
Last column: nearest neighbours and their distance in Å.
Space group F-43m (No. 216)
Inequivalent atoms, fractional coordinates:
Sb: 0.0000 0.0000 0.0000  4 Cl 3.02, 4 Br 3.02
Br: 0.2500 0.2500 0.7500  4 Cl 3.02, 4 Sb 3.02
Cl: 0.0000 0.0000 0.5000  4 Cl 3.02, 4 Br 3.02
Cl: 0.2500 0.2500 0.2500  4 Cl 3.02, 4 Sb 3.02

Summary:
Formation energy from raw total energies in meV per atom: -250
M_tot in μB per formula unit: 0.000


[5]
## AlRe2Mo (PBEsol)

Data for a relaxed AlRe2Mo crystal.

Lattice parameters (Å, degrees): 4.3380 4.3380 3.0745 90.00 90.00 90.00
Last column: nearest neighbours and their distance in Å.
Space group P4/mmm (No. 123)
Inequivalent atoms, fractional coordinates:
Al: 0.0000 0.0000 0.0000  8 Re 2.66
Re: 0.0000 0.5000 0.5000  4 Mo 2.66, 4 Al 2.66
Mo: 0.5000 0.5000 0.0000  8 Re 2.66

Summary:
Formation energy in eV/atom: -0.032
M_tot in μB per formula unit: 0.000


[6]
## LiPbSe2 (PBEsol)

Data for a relaxed LiPbSe2 crystal.

Lattice parameters (Å, degrees): 3.9446 3.9446 6.2035 90.00 90.00 90.00
Last column: nearest neighbours and their distance in Å.
Space group P4mm (No. 99)
Inequivalent atoms, fractional coordinates:
Li: 0.0000 0.0000 0.0000  5 Se 2.66-2.79
Pb: 0.5000 0.5000 0.4519  5 Se 2.66-2.88
Se: 0.0000 0.0000 0.5706  1 Li 2.66, 4 Pb 2.88
Se: 0.5000 0.5000 0.0236  1 Pb 2.66, 4 Li 2.79

Summary:
Formation energy from raw total energies in meV per atom: -572
M_tot in μB per formula unit: 0.000


[7]
## CaYFe (PBEsol)

Data for a relaxed CaYFe crystal.

Lattice parameters (Å, degrees): 6.7903 6.7903 6.7903 90.00 90.00 90.00
Last column: nearest neighbours and their distance in Å.
Space group F-43m (No. 216)
Inequivalent atoms, fractional coordinates:
Ca: 0.0000 0.0000 0.0000  4 Fe 2.94, 4 Y 2.94
Y: 0.2500 0.2500 0.7500  4 Ca 2.94
Fe: 0.2500 0.2500 0.2500  4 Ca 2.94

Summary:
Formation energy in eV/atom: 1.265
M_tot in μB per formula unit: 2.013


[8]
## CaNiBr (PBEsol)

Data for a relaxed CaNiBr crystal.

Lattice parameters (Å, degrees): 3.3901 3.3901 10.5238 90.00 90.00 90.00
Last column: nearest neighbours and their distance in Å.
Space group I4mm (No. 107)
Inequivalent atoms, fractional coordinates:
Ca: 0.0000 0.0000 0.0000  4 Ni 2.93, 4 Br 3.06
Ni: 0.0000 0.0000 0.6601  4 Br 2.92, 4 Ca 2.93
Br: 0.0000 0.0000 0.3191  4 Ni 2.92, 4 Ca 3.06

Summary:
Formation energy from raw total energies in meV per atom: -262
M_tot in μB per formula unit: 0.001